Entry A
Density functional theory data (PBE-GGA) for GeI after structural relaxation.

Results
Size of the total moment   0.000 μB/cell
DOS at the Fermi energy   0.63 states/eV per cell

Lattice parameters (Å, degrees): 3.6672 4.3186 4.3521 90.00 114.70 90.00
Last column: nearest neighbours and their distance in Å.
Space group Pm (No. 6)
Inequivalent atoms, fractional coordinates:
Ge: 0.0000 0.0000 0.0000 x1  2 I 2.86
I: 0.2360 0.5000 0.4752 x1  2 Ge 2.86

---

Entry B
Density functional theory data (PBE-GGA) for GeI after structural relaxation.

Results
Size of the total moment   0.000 μB/cell
DOS at the Fermi energy   5.08 states/eV per cell

Lattice parameters (Å, degrees): 9.1868 9.1868 3.9637 90.00 90.00 90.00
Last column: nearest neighbours and their distance in Å.
Space group P4_2/mnm (No. 136)
Inequivalent atoms, fractional coordinates:
Ge: 0.0982 0.0982 0.0000 x4  1 Ge 2.55
I: 0.2102 0.7898 0.0000 x4  4 Ge 3.01-3.18

---

Least stable of them? entry A.

---

Entry A
Density functional theory data (PBE-GGA) for GeI after structural relaxation.

Results
Size of the total moment   0.000 μB/cell
DOS at the Fermi energy   0.92 states/eV per cell

Lattice parameters (Å, degrees): 3.2348 3.7480 6.0780 104.03 92.23 115.25
Last column: nearest neighbours and their distance in Å.
Space group P1 (No. 1)
Inequivalent atoms, fractional coordinates:
Ge: 0.0000 0.0000 0.0000 x1  1 I 2.69
I: 0.8452 0.7542 0.5379 x1  1 Ge 2.69

---

Entry B
Density functional theory data (PBE-GGA) for GeI after structural relaxation.

Results
Size of the total moment   0.000 μB/cell
DOS at the Fermi energy   4.24 states/eV per cell

Lattice parameters (Å, degrees): 12.4284 12.4284 4.3626 90.00 90.00 90.00
Last column: nearest neighbours and their distance in Å.
Space group P4/m (No. 83)
Inequivalent atoms, fractional coordinates:
Ge: 0.1987 0.2760 0.0000 x4  2 Ge 2.59, 1 I 2.65
Ge: 0.2263 0.7010 0.5000 x4  2 Ge 2.59, 1 I 2.66
I: 0.0147 0.7307 0.5000 x4  1 Ge 2.66
I: 0.2267 0.4878 0.0000 x4  1 Ge 2.65

---

Entry C
Density functional theory data (PBE-GGA) for GeI after structural relaxation.

Results
Size of the total moment   0.000 μB/cell
DOS at the Fermi energy   0.76 states/eV per cell

Lattice parameters (Å, degrees): 3.5968 4.0937 4.4390 90.00 90.00 90.00
Last column: nearest neighbours and their distance in Å.
Space group Pmmm (No. 47)
Inequivalent atoms, fractional coordinates:
Ge: 0.0000 0.0000 0.0000 x1  4 I 3.02
I: 0.0000 0.5000 0.5000 x1  4 Ge 3.02

---

Entry D
Density functional theory data (PBE-GGA) for GeI after structural relaxation.

Results
Size of the total moment   6.113 μB/cell
DOS at the Fermi energy   8.71 states/eV per cell

Lattice parameters (Å, degrees): 8.7194 8.7194 8.7194 90.00 90.00 90.00
Last column: nearest neighbours and their distance in Å.
Space group Pm-3n (No. 223)
Inequivalent atoms, fractional coordinates:
Ge: 0.0000 0.2500 0.5000 x6  4 I 3.08
I: 0.0000 0.5000 0.2500 x6  4 Ge 3.08

---

Least stable of them? entry D.

---

Entry A
Density functional theory data (PBE-GGA) for GeI after structural relaxation.

Results
Size of the total moment   0.000 μB/cell
DOS at the Fermi energy   3.86 states/eV per cell

Lattice parameters (Å, degrees): 11.7104 11.7104 5.4446 90.00 90.00 90.00
Last column: nearest neighbours and their distance in Å.
Space group I4/m (No. 87)
Inequivalent atoms, fractional coordinates:
Ge: 0.0788 0.4151 0.0000 x8  1 Ge 2.71, 1 I 2.74
I: 0.0785 0.2543 0.5000 x8  1 Ge 2.74

---

Entry B
Density functional theory data (PBE-GGA) for GeI after structural relaxation.

Results
Size of the total moment   0.000 μB/cell
DOS at the Fermi energy   7.78 states/eV per cell

Lattice parameters (Å, degrees): 7.0163 7.0163 7.0163 90.00 90.00 90.00
Last column: nearest neighbours and their distance in Å.
Space group F-43m (No. 216)
Inequivalent atoms, fractional coordinates:
Ge: 0.0000 0.0000 0.0000 x4  4 I 3.04
I: 0.2500 0.2500 0.7500 x4  4 Ge 3.04

---

Entry C
Density functional theory data (PBE-GGA) for GeI after structural relaxation.

Results
Size of the total moment   0.000 μB/cell
DOS at the Fermi energy   1.20 states/eV per cell

Lattice parameters (Å, degrees): 4.1677 3.6537 8.9741 90.00 90.77 90.00
Last column: nearest neighbours and their distance in Å.
Space group P2_1/m (No. 11)
Inequivalent atoms, fractional coordinates:
Ge: 0.2487 0.2500 0.4513 x2  2 I 2.87, 4 Ge 2.91
I: 0.2417 0.7500 0.2048 x2  2 Ge 2.87

---

Entry D
Density functional theory data (PBE-GGA) for GeI after structural relaxation.

Results
Size of the total moment   0.000 μB/cell
DOS at the Fermi energy   11.60 states/eV per cell

Lattice parameters (Å, degrees): 9.3350 9.3350 9.3350 90.00 90.00 90.00
Last column: nearest neighbours and their distance in Å.
Space group I-43m (No. 217)
Inequivalent atoms, fractional coordinates:
Ge: 0.1078 0.1078 0.1078 x8  3 Ge 2.85, 4 I 3.06-3.16
I: 0.2028 0.2028 0.7972 x8  4 Ge 3.06-3.16

---

Least stable of them? entry B.

---

Entry A
Density functional theory data (PBE-GGA) for GeI after structural relaxation.

Results
Size of the total moment   0.000 μB/cell
DOS at the Fermi energy   1.93 states/eV per cell

Lattice parameters (Å, degrees): 6.7678 3.9089 4.9877 90.00 117.16 90.00
Last column: nearest neighbours and their distance in Å.
Space group C2/m (No. 12)
Inequivalent atoms, fractional coordinates:
Ge: 0.0000 0.0000 0.0000 x2  6 I 3.16-3.17
I: 0.0000 0.5000 0.5000 x2  6 Ge 3.16-3.17

---

Entry B
Density functional theory data (PBE-GGA) for GeI after structural relaxation.

Results
Size of the total moment   0.000 μB/cell
DOS at the Fermi energy   2.57 states/eV per cell

Lattice parameters (Å, degrees): 12.8738 4.8136 7.7575 90.00 90.00 90.00
Last column: nearest neighbours and their distance in Å.
Space group Pmn2_1 (No. 31)
Inequivalent atoms, fractional coordinates:
Ge: 0.0000 0.0265 0.0000 x2  2 Ge 2.71
Ge: 0.1211 0.9257 0.2789 x4  1 Ge 2.71, 2 I 2.79-2.89
I: 0.0000 0.5417 0.4840 x2  2 Ge 2.89
I: 0.1570 0.5298 0.0236 x4  1 Ge 2.79

---

Entry C
Density functional theory data (PBE-GGA) for GeI after structural relaxation.

Results
Size of the total moment   0.000 μB/cell
DOS at the Fermi energy   1.24 states/eV per cell

Lattice parameters (Å, degrees): 7.4360 4.2923 9.5574 90.00 104.60 90.00
Last column: nearest neighbours and their distance in Å.
Space group C2 (No. 5)
Inequivalent atoms, fractional coordinates:
Ge: 0.1788 0.0000 0.0374 x4  1 I 2.56, 3 Ge 2.57
I: 0.2314 0.5167 0.6854 x4  1 Ge 2.56

---

Entry D
Density functional theory data (PBE-GGA) for GeI after structural relaxation.

Results
Size of the total moment   0.006 μB/cell
DOS at the Fermi energy   7.92 states/eV per cell

Lattice parameters (Å, degrees): 9.7545 9.7545 5.7772 90.00 90.00 120.00
Last column: nearest neighbours and their distance in Å.
Space group P6_3/m (No. 176)
Inequivalent atoms, fractional coordinates:
Ge: 0.0302 0.8409 0.2500 x6  2 Ge 2.98, 2 I 2.98-2.99
I: 0.0591 0.6801 0.7500 x6  2 Ge 2.98-2.99

---

Least stable of them? entry A.

---

Entry A
Density functional theory data (PBE-GGA) for InGeI4 after structural relaxation.

Results
Size of the total moment   0.000 μB/cell
DOS at the Fermi energy   13.59 states/eV per cell

Lattice parameters (Å, degrees): 7.5787 20.5941 7.5800 90.00 91.87 90.00
Last column: nearest neighbours and their distance in Å.
Space group C2/c (No. 15)
Inequivalent atoms, fractional coordinates:
In: 0.0000 0.0579 0.2500 x4  6 I 3.07-3.24
Ge: 0.0000 0.4348 0.7500 x4  4 I 2.80-3.06
I: 0.2281 0.3442 0.6020 x8  1 Ge 2.80, 1 In 3.07
I: 0.2469 0.4465 0.0759 x8  2 Ge 3.06-3.37, 2 In 3.18-3.24

---

Entry B
Density functional theory data (PBE-GGA) for InGeI4 after structural relaxation.

Results
Size of the total moment   0.000 μB/cell
DOS at the Fermi energy   2.34 states/eV per cell

Lattice parameters (Å, degrees): 20.3829 5.8615 11.0158 90.00 118.71 90.00
Last column: nearest neighbours and their distance in Å.
Space group C2/m (No. 12)
Inequivalent atoms, fractional coordinates:
In: 0.2210 0.0000 0.2630 x4  4 I 2.91-3.01
Ge: 0.0946 0.0000 0.7038 x4  4 I 2.73-3.02
I: 0.0569 0.0000 0.3972 x4  1 Ge 2.73
I: 0.0994 0.0000 0.9795 x4  1 In 2.91, 1 Ge 2.99
I: 0.1345 0.5000 0.7488 x4  1 In 3.01, 2 Ge 3.02
I: 0.2201 0.5000 0.3259 x4  2 In 3.01

---

Least stable of them? entry B.

---

Entry A
Density functional theory data (PBE-GGA) for In2GeI after structural relaxation.

Results
Size of the total moment   0.000 μB/cell
DOS at the Fermi energy   6.67 states/eV per cell

Lattice parameters (Å, degrees): 6.8287 6.8287 13.9312 90.00 90.00 90.00
Last column: nearest neighbours and their distance in Å.
Space group I-42d (No. 122)
Inequivalent atoms, fractional coordinates:
In: 0.1816 0.2500 0.1250 x8  2 Ge 2.74
Ge: 0.0000 0.0000 0.0000 x4  4 In 2.74
I: 0.0000 0.0000 0.5000 x4  4 In 3.27

---

Entry B
Density functional theory data (PBE-GGA) for In2GeI after structural relaxation.

Results
Size of the total moment   0.000 μB/cell
DOS at the Fermi energy   9.30 states/eV per cell

Lattice parameters (Å, degrees): 7.7202 7.7202 7.7202 90.00 90.00 90.00
Last column: nearest neighbours and their distance in Å.
Space group Fm-3m (No. 225)
Inequivalent atoms, fractional coordinates:
In: 0.2500 0.2500 0.2500 x8  4 Ge 3.34, 4 I 3.34
Ge: 0.0000 0.0000 0.0000 x4  8 In 3.34
I: 0.0000 0.0000 0.5000 x4  8 In 3.34

---

Least stable of them? entry B.

---

Entry A
Density functional theory data (PBE-GGA) for In2GeI4 after structural relaxation.

Results
Size of the total moment   0.000 μB/cell

Lattice parameters (Å, degrees): 17.5259 4.4490 9.0147 90.00 120.25 90.00
Last column: nearest neighbours and their distance in Å.
Space group C2/m (No. 12)
Inequivalent atoms, fractional coordinates:
In: 0.2223 0.0000 0.2052 x4  5 I 3.34-3.62
Ge: 0.0000 0.5000 0.5000 x2  6 I 3.03-3.06
I: 0.1136 0.0000 0.4774 x4  2 Ge 3.06
I: 0.1160 0.5000 0.8878 x4  1 Ge 3.03, 3 In 3.34-3.35

---

Entry B
Density functional theory data (PBE-GGA) for In2GeI4 after structural relaxation.

Results
Size of the total moment   0.000 μB/cell

Lattice parameters (Å, degrees): 5.8842 5.8842 17.1343 90.00 90.00 90.00
Last column: nearest neighbours and their distance in Å.
Space group I4/mmm (No. 139)
Inequivalent atoms, fractional coordinates:
In: 0.0000 0.0000 0.1355 x4  1 I 3.25
Ge: 0.0000 0.0000 0.5000 x2  6 I 2.94-2.99
I: 0.0000 0.0000 0.3254 x4  1 Ge 2.99, 1 In 3.25
I: 0.0000 0.5000 0.0000 x4  2 Ge 2.94

---

Least stable of them? entry B.

---

Entry A
Density functional theory data (PBE-GGA) for InGeI2 after structural relaxation.

Results
Size of the total moment   0.000 μB/cell
DOS at the Fermi energy   4.85 states/eV per cell

Lattice parameters (Å, degrees): 4.0541 4.0541 28.8559 90.00 90.00 120.00
Last column: nearest neighbours and their distance in Å.
Space group R-3m (No. 166, hexagonal axes)
Inequivalent atoms, fractional coordinates:
In: 0.0000 0.0000 0.0000 x3  6 I 3.66, 6 In 4.05
Ge: 0.0000 0.0000 0.5000 x3  6 I 3.07
I: 0.0000 0.0000 0.2356 x6  3 Ge 3.07

---

Entry B
Density functional theory data (PBE-GGA) for InGeI2 after structural relaxation.

Results
Size of the total moment   0.000 μB/cell
DOS at the Fermi energy   11.44 states/eV per cell

Lattice parameters (Å, degrees): 6.5259 6.5259 17.7226 90.00 90.00 90.00
Last column: nearest neighbours and their distance in Å.
Space group I-42d (No. 122)
Inequivalent atoms, fractional coordinates:
In: 0.0000 0.0000 0.0000 x4  4 I 3.41
Ge: 0.0000 0.0000 0.5000 x4  4 I 3.02
I: 0.1921 0.2500 0.6250 x8  2 Ge 3.02

---

Least stable of them? entry B.

---

Entry A
Density functional theory data (PBE-GGA) for In3GeI after structural relaxation.

Results
Size of the total moment   0.000 μB/cell
DOS at the Fermi energy   2.11 states/eV per cell

Lattice parameters (Å, degrees): 5.6419 5.6419 5.6419 90.00 90.00 90.00
Last column: nearest neighbours and their distance in Å.
Space group Pm-3m (No. 221)
Inequivalent atoms, fractional coordinates:
In: 0.0000 0.0000 0.5000 x3  2 Ge 2.82
Ge: 0.0000 0.0000 0.0000 x1  6 In 2.82
I: 0.5000 0.5000 0.5000 x1  12 In 3.99

---

Entry B
Density functional theory data (PBE-GGA) for In3GeI after structural relaxation.

Results
Size of the total moment   1.949 μB/cell
DOS at the Fermi energy   3.04 states/eV per cell

Lattice parameters (Å, degrees): 6.2656 6.2656 6.2656 90.00 90.00 90.00
Last column: nearest neighbours and their distance in Å.
Space group Pm-3m (No. 221)
Inequivalent atoms, fractional coordinates:
In: 0.0000 0.0000 0.5000 x3  2 I 3.13
Ge: 0.5000 0.5000 0.5000 x1  12 In 4.43
I: 0.0000 0.0000 0.0000 x1  6 In 3.13

---

Least stable of them? entry B.